Entry 1:
DFT (GGA-PBE) results for LiEr2In after structural relaxation.

```
data_LiEr2In
_symmetry_space_group_name_H-M 'P 1'
_symmetry_Int_Tables_number 1
_symmetry_space_group_name_Hall 'P 1'
_cell_length_a 5.2252
_cell_length_b 5.2252
_cell_length_c 5.2252
_cell_angle_alpha 60.00
_cell_angle_beta 60.00
_cell_angle_gamma 60.00
loop_
_atom_site_label
_atom_site_type_symbol
_atom_site_fract_x
_atom_site_fract_y
_atom_site_fract_z
In1 In 0.5000 0.5000 0.5000
Li1 Li 0.0000 0.0000 0.0000
Er1 Er 0.2500 0.2500 0.2500
Er2 Er 0.7500 0.7500 0.7500
```

Summary:
- Space group: Fm-3m, No. 225

Entry 2:
DFT (GGA-PBE) results for Li2Er3In3 after structural relaxation.

```
data_Li2Er3In3
_symmetry_space_group_name_H-M 'P 1'
_symmetry_Int_Tables_number 1
_symmetry_space_group_name_Hall 'P 1'
_cell_length_a 4.6873
_cell_length_b 5.8514
_cell_length_c 15.4702
_cell_angle_alpha 90.00
_cell_angle_beta 90.00
_cell_angle_gamma 113.61
loop_
_atom_site_label
_atom_site_type_symbol
_atom_site_fract_x
_atom_site_fract_y
_atom_site_fract_z
Li1 Li 0.7850 0.5700 0.9061
Li2 Li 0.2150 0.4300 0.4061
Li3 Li 0.7850 0.5700 0.5939
Li4 Li 0.2150 0.4300 0.0939
Er1 Er 0.9139 0.8279 0.3889
Er2 Er 0.0861 0.1721 0.8889
Er3 Er 0.9139 0.8279 0.1111
Er4 Er 0.0861 0.1721 0.6111
Er5 Er 0.6401 0.2801 0.2500
Er6 Er 0.3599 0.7199 0.7500
In1 In 0.6149 0.2297 0.4526
In2 In 0.3851 0.7703 0.9526
In3 In 0.6149 0.2297 0.0474
In4 In 0.3851 0.7703 0.5474
In5 In 0.3440 0.6880 0.2500
In6 In 0.6560 0.3120 0.7500
```

Summary:
- Space group: Cmcm, No. 63

Table of calculated total energy (Ry per atom), in record order: -0.272, -0.259